First-principles (PBE) data for crystalline LiHo2CuSi4O12 at its relaxed geometry, as listed in the Alexandria database.

Output
The theoretical density is 4.6 g/cm³. The calculation puts the uncorrected formation energy at -2.7145 eV per atom. Its energy above the most stable polymorph in this dataset is 40 meV per atom. As for the total magnetization: 0.07 μB/f.u.

a b c (Å): 5.254 7.157 7.591
angles (deg): 113.64 83.50 103.51
Positions (direct):
O  0.655  0.736  0.752
O  0.361  0.274  0.266
O  0.744  0.083  0.621
Cu  0.984  0.002  0.002
Ho  0.033  0.230  0.441
O  0.250  0.019  0.805
Si  0.618  0.418  0.215
Ho  0.975  0.776  0.569
Si  0.474  0.812  0.218
Si  0.391  0.588  0.784
Li  0.528  0.186  0.419
O  0.144  0.562  0.658
O  0.672  0.329  0.983
O  0.854  0.434  0.349
O  0.327  0.659  0.016
O  0.421  0.334  0.693
O  0.729  0.994  0.208
Si  0.521  0.177  0.780
O  0.593  0.665  0.297
O  0.255  0.925  0.373


First-principles (PBE) data for crystalline Li2HoCu2P2 at its relaxed geometry, as listed in the Alexandria database.

Output
Its formation energy is -0.767 eV per atom. The theoretical density is 5.9 g/cm³. As for the total magnetization: 0.00 μB/f.u.

a b c (Å): 3.962 3.962 7.910
angles (deg): 75.50 75.50 60.00
Positions (direct):
Ho  0.000  0.000  0.000
Li  0.143  0.143  0.572
Cu  0.426  0.426  0.723
P  0.254  0.254  0.237
P  0.746  0.746  0.763
Cu  0.574  0.574  0.277
Li  0.857  0.857  0.428


First-principles (PBE) data for crystalline LiHoCuPb at its relaxed geometry, as listed in the Alexandria database.

Output
Its formation energy is -0.233 eV per atom. The theoretical density is 9.4 g/cm³. As for the total magnetization: 0.00 μB/f.u.

a b c (Å): 4.803 4.803 4.803
angles (deg): 60.00 60.00 60.00
Positions (direct):
Cu  0.750  0.750  0.750
Pb  0.500  0.500  0.500
Li  0.250  0.250  0.250
Ho  0.000  0.000  0.000


First-principles (PBE) data for crystalline LiPmHoCu at its relaxed geometry, as listed in the Alexandria database.

Output
Its formation energy is -0.012 eV per atom. The theoretical density is 6.8 g/cm³. As for the total magnetization: 0.00 μB/f.u.

a b c (Å): 5.082 5.082 5.082
angles (deg): 60.00 60.00 60.00
Positions (direct):
Pm  0.500  0.500  0.500
Ho  0.000  0.000  0.000
Cu  0.250  0.250  0.250
Li  0.750  0.750  0.750


First-principles (PBE) data for crystalline LiPrHoCu at its relaxed geometry, as listed in the Alexandria database.

Output
Its formation energy is 0.003 eV per atom. The theoretical density is 6.6 g/cm³. As for the total magnetization: 0.00 μB/f.u.

a b c (Å): 5.125 5.125 5.125
angles (deg): 60.00 60.00 60.00
Positions (direct):
Cu  0.250  0.250  0.250
Ho  0.000  0.000  0.000
Li  0.750  0.750  0.750
Pr  0.500  0.500  0.500


First-principles (PBE) data for crystalline LiHo2CuPt2 at its relaxed geometry, as listed in the Alexandria database.

Output
Its formation energy is -0.884 eV per atom. The theoretical density is 11.4 g/cm³. As for the total magnetization: 0.00 μB/f.u.

a b c (Å): 5.658 5.699 8.187
angles (deg): 110.37 110.21 90.00
Positions (direct):
Ho  0.423  0.170  0.340
Pt  0.878  0.126  0.251
Pt  0.626  0.374  0.749
Ho  0.577  0.830  0.660
Cu  0.500  0.250  0.000
Li  0.000  0.250  0.000
Pt  0.374  0.626  0.251
Pt  0.122  0.874  0.749
Li  0.000  0.750  0.000
Ho  0.917  0.670  0.340
Cu  0.500  0.750  0.000
Ho  0.083  0.330  0.660


Q: Look up the theoretical density of the second one.
A: 5.9 g/cm³